Record 1
DFT (PBE) results for a relaxed LiAgPt crystal.

Summary:
**Distance to the lowest polymorph of the same formula**: 49 meV per atom

Cell: 2.789 2.789 11.938 Å, 90.00 90.00 90.00°
Fractional coordinates of all 6 atoms:
Li 0.000 0.000 0.000
Li 0.500 0.500 0.500
Ag 0.000 0.000 0.326
Ag 0.500 0.500 0.826
Pt 0.000 0.000 0.646
Pt 0.500 0.500 0.146

Record 2
DFT (PBE) results for a relaxed TiMo2HOs crystal.

Cell: 3.918 3.918 4.189 Å, 90.00 90.00 90.00°
Fractional coordinates of all 5 atoms:
Ti 0.000 0.000 0.000
Mo 0.000 0.500 0.500
Mo 0.500 0.000 0.500
H 0.000 0.000 0.500
Os 0.500 0.500 0.000

Record 3
DFT (PBE) results for a relaxed MgAl2PW crystal.

Summary:
**Distance to the lowest polymorph of the same formula**: 0 meV per atom

Cell: 4.974 4.974 4.595 Å, 90.00 90.00 90.00°
Fractional coordinates of all 5 atoms:
Mg 0.000 0.000 0.000
Al 0.000 0.500 0.500
Al 0.500 0.000 0.500
P 0.500 0.500 0.000
W 0.500 0.500 0.500

Record 4
DFT (PBE) results for a relaxed CsCdSe2 crystal.

Cell: 4.172 4.172 28.891 Å, 90.00 90.00 120.00°
Fractional coordinates of all 12 atoms:
Cs 0.000 0.000 0.000
Cs 0.333 0.667 0.667
Cs 0.667 0.333 0.333
Cd 0.000 0.000 0.500
Cd 0.333 0.667 0.167
Cd 0.667 0.333 0.833
Se 0.000 0.000 0.115
Se 0.000 0.000 0.885
Se 0.333 0.667 0.552
Se 0.333 0.667 0.781
Se 0.667 0.333 0.219
Se 0.667 0.333 0.448

Record 5
DFT (PBE) results for a relaxed ZnRu2Au crystal.

Cell: 2.816 2.816 7.593 Å, 90.00 90.00 90.00°
Fractional coordinates of all 4 atoms:
Zn 0.000 0.000 0.000
Ru 0.000 0.000 0.542
Ru 0.500 0.500 0.758
Au 0.500 0.500 0.261

Record 6
DFT (PBE) results for a relaxed ScTc2P crystal.

Cell: 3.123 4.157 9.082 Å, 90.00 90.00 90.00°
Fractional coordinates of all 8 atoms:
Sc 0.000 0.000 0.000
Sc 0.500 0.500 0.500
Tc 0.000 0.000 0.515
Tc 0.000 0.500 0.765
Tc 0.500 0.000 0.265
Tc 0.500 0.500 0.015
P 0.000 0.500 0.231
P 0.500 0.000 0.731

| no. | total moment (μB/cell) | calculated total energy (eV/atom) |
| --- | --- | --- |
| 1 | 0.0 | -3.845 |
| 2 | 0.0 | -8.815 |
| 3 | 0.0 | -5.092 |
| 4 | 0.0 | -2.480 |
| 5 | 0.0 | -5.761 |
| 6 | 0.0 | -8.473 |